1.
# HoZnInTe3 (PBE, optimized geometry)
# excess energy over the best structure of this formula in the dataset: 0.0000 eV per atom
data_HoZnInTe3
_chemical_formula_sum 'Ho4 Zn4 In4 Te12'
_cell_length_a 11.5122
_cell_length_b 4.3251
_cell_length_c 15.3065
_cell_angle_alpha 90.00
_cell_angle_beta 90.00
_cell_angle_gamma 90.00
_symmetry_space_group_name_H-M 'P n m a'
_symmetry_Int_Tables_number 62
loop_
_symmetry_equiv_pos_as_xyz
'x,y,z'
'-x,-y,-z'
'-x+1/2,-y,z+1/2'
'x+1/2,y,-z+1/2'
'x+1/2,-y+1/2,-z+1/2'
'-x+1/2,y+1/2,z+1/2'
'-x,y+1/2,-z'
'x,-y+1/2,z'
loop_
_atom_site_label
_atom_site_fract_x
_atom_site_fract_y
_atom_site_fract_z
Ho1 0.0154 0.2500 0.2455
Zn1 0.2389 0.2500 0.7161
In1 0.2254 0.7500 0.5072
Te1 0.0459 0.2500 0.6182
Te2 0.0773 0.7500 0.1106
Te3 0.2372 0.7500 0.8260

2.
# YTlAgAu (PBE, optimized geometry)
# excess energy over the best structure of this formula in the dataset: 0.0312 eV per atom
data_YTlAgAu
_chemical_formula_sum 'Y4 Tl4 Ag4 Au4'
_cell_length_a 7.0681
_cell_length_b 7.0681
_cell_length_c 7.0681
_cell_angle_alpha 90.00
_cell_angle_beta 90.00
_cell_angle_gamma 90.00
_symmetry_space_group_name_H-M 'F -4 3 m'
_symmetry_Int_Tables_number 216
_symmetry_space_group_name_Hall 'F -4 2 3'
loop_
_atom_site_label
_atom_site_fract_x
_atom_site_fract_y
_atom_site_fract_z
Y1 0.0000 0.0000 0.0000
Tl1 0.2500 0.2500 0.7500
Ag1 0.0000 0.0000 0.5000
Au1 0.2500 0.2500 0.2500

3.
# LiMg2Pd (PBE, optimized geometry)
# excess energy over the best structure of this formula in the dataset: 0.0618 eV per atom
data_LiMg2Pd
_chemical_formula_sum 'Li1 Mg2 Pd1'
_cell_length_a 4.4934
_cell_length_b 4.4934
_cell_length_c 3.3681
_cell_angle_alpha 90.00
_cell_angle_beta 90.00
_cell_angle_gamma 90.00
_symmetry_space_group_name_H-M 'P 4/m m m'
_symmetry_Int_Tables_number 123
_symmetry_space_group_name_Hall '-P 4 2'
loop_
_atom_site_label
_atom_site_fract_x
_atom_site_fract_y
_atom_site_fract_z
Li1 0.0000 0.0000 0.0000
Mg1 0.0000 0.5000 0.5000
Pd1 0.5000 0.5000 0.0000